No. 1
An optimized crystal structure of AlNiTe2. Source: the Alexandria database, functional PBE-GGA.

Values from the calculation:
total energy	-3.7576	eV per atom
density	5.456	g/cm3
formation energy without anion corrections	194	meV per atom
M_tot	0.0	μB per formula unit

a b c (Å): 4.126 4.126 7.504
angles (deg): 90.00 90.00 125.69
Fractional coordinates of all 4 atoms:
Al  0.000  0.000  0.000
Ni  0.000  0.000  0.500
Te  0.500  0.500  0.273
Te  0.500  0.500  0.727

***

No. 2
An optimized crystal structure of Zr2Nb2Tc. Source: the Alexandria database, functional PBE-GGA.

Values from the calculation:
total energy	-9.3901	eV per atom
density	7.531	g/cm3
M_tot	0.0	μB per formula unit
formation energy	0.13	eV/atom

a b c (Å): 6.585 6.585 4.741
angles (deg): 90.00 90.00 90.00
Fractional coordinates of all 10 atoms:
Zr  0.167  0.333  0.000
Zr  0.333  0.833  0.000
Zr  0.667  0.167  0.000
Zr  0.833  0.667  0.000
Nb  0.149  0.649  0.500
Nb  0.351  0.149  0.500
Nb  0.649  0.851  0.500
Nb  0.851  0.351  0.500
Tc  0.000  0.000  0.500
Tc  0.500  0.500  0.500

***

No. 3
An optimized crystal structure of KCd2Cu2. Source: the Alexandria database, functional PBE-GGA.

Values from the calculation:
total energy	-2.0793	eV per atom
density	6.335	g/cm3
M_tot	0.0	μB per formula unit
formation energy	0.14	eV/atom

a b c (Å): 8.278 8.278 2.991
angles (deg): 90.00 90.00 90.00
Fractional coordinates of all 10 atoms:
K  0.000  0.000  0.000
K  0.500  0.500  0.000
Cd  0.169  0.331  0.500
Cd  0.331  0.831  0.500
Cd  0.669  0.169  0.500
Cd  0.831  0.669  0.500
Cu  0.118  0.618  0.000
Cu  0.382  0.118  0.000
Cu  0.618  0.882  0.000
Cu  0.882  0.382  0.000

***

No. 4
An optimized crystal structure of Li4EuTh. Source: the Alexandria database, functional PBE-GGA.

Values from the calculation:
total energy	-4.0085	eV per atom
density	4.554	g/cm3
M_tot	8.0	μB per formula unit
formation energy	0.22	eV/atom

a b c (Å): 5.966 5.966 5.966
angles (deg): 60.00 60.00 60.00
Fractional coordinates of all 6 atoms:
Li  0.125  0.125  0.125
Li  0.125  0.125  0.626
Li  0.125  0.626  0.125
Li  0.626  0.125  0.125
Eu  0.500  0.500  0.500
Th  0.750  0.750  0.750

***

No. 5
An optimized crystal structure of LiFe4Cl. Source: the Alexandria database, functional PBE-GGA.

Values from the calculation:
total energy	-5.7720	eV per atom
density	4.886	g/cm3
formation energy without anion corrections	496	meV per atom
M_tot	11.7	μB per formula unit

a b c (Å): 5.036 5.036 5.036
angles (deg): 60.00 60.00 60.00
Fractional coordinates of all 6 atoms:
Li  0.000  0.000  0.000
Fe  0.372  0.372  0.372
Fe  0.372  0.372  0.884
Fe  0.372  0.884  0.372
Fe  0.884  0.372  0.372
Cl  0.750  0.750  0.750

***

No. 6
An optimized crystal structure of LiInBr2. Source: the Alexandria database, functional PBE-GGA.

Values from the calculation:
total energy	-2.8408	eV per atom
density	3.561	g/cm3
formation energy without anion corrections	-841	meV per atom
M_tot	0.0	μB per formula unit

a b c (Å): 7.753 7.753 7.753
angles (deg): 147.88 147.88 46.06
Fractional coordinates of all 4 atoms:
Li  0.000  0.000  0.000
In  0.750  0.250  0.500
Br  0.250  0.750  0.500
Br  0.500  0.500  0.000